An optimized crystal structure of Gd2YMg4Tl2. Source: the Open Quantum Materials Database, functional PBE.

Calculated values
Total magnetization, μB/cell: 0.01

Lattice parameters (Å, degrees): 4.6563 13.1766 7.6296 90.00 90.00 90.00
Last column: nearest neighbours and their distance in Å.
Space group Amm2 (No. 38)
Unique sites:
Gd: 0.0000 0.2168 0.0000 (multiplicity 4)  4 Tl 3.25, 3 Mg 3.31-3.39
Y: 0.0000 0.0000 0.3492 (multiplicity 2)  4 Tl 3.24, 3 Mg 3.30-3.40
Mg: 0.0000 0.0000 0.7815 (multiplicity 2)  6 Mg 2.97-2.98, 1 Y 3.30, 2 Gd 3.31
Mg: 0.5000 0.0000 0.0252 (multiplicity 2)  2 Tl 2.94, 4 Mg 2.98-3.20
Mg: 0.5000 0.1214 0.6613 (multiplicity 4)  2 Tl 2.94-2.95, 4 Mg 2.97-3.20
Tl: 0.5000 0.1662 0.2832 (multiplicity 4)  3 Mg 2.94-2.95, 2 Y 3.24, 4 Gd 3.25

An optimized crystal structure of GdTmMg2. Source: the Open Quantum Materials Database, functional PBE.

Calculated values
Total magnetization, μB/cell: 0.05

Lattice parameters (Å, degrees): 3.7918 5.3386 5.3389 90.00 90.00 90.00
Last column: nearest neighbours and their distance in Å.
Space group Pmm2 (No. 25)
Unique sites:
Gd: 0.0000 0.0000 0.0000 (multiplicity 1)  8 Mg 3.27-3.28
Tm: 0.0000 0.5000 0.4964 (multiplicity 1)  8 Mg 3.27-3.28
Mg: 0.5000 0.0000 0.5005 (multiplicity 1)  4 Gd 3.27-3.28, 4 Tm 3.27
Mg: 0.5000 0.5000 0.9958 (multiplicity 1)  4 Tm 3.27-3.28, 4 Gd 3.27

An optimized crystal structure of Gd2Tm2Mg. Source: the Open Quantum Materials Database, functional PBE.

Calculated values
Total magnetization, μB/cell: 0.00

Lattice parameters (Å, degrees): 9.1271 9.1271 3.6601 90.00 90.00 90.00
Last column: nearest neighbours and their distance in Å.
Space group P4/mbm (No. 127)
Unique sites:
Gd: 0.1734 0.3266 0.0000 (multiplicity 4)  6 Tm 3.16-3.32
Tm: 0.1270 0.6270 0.5000 (multiplicity 4)  6 Gd 3.16-3.32, 1 Tm 3.28
Mg: 0.0000 0.0000 0.5000 (multiplicity 2)  4 Tm 3.60, 2 Mg 3.66, 8 Gd 3.84

| no. | calculated total energy (eV per atom) |
| --- | --- |
| 1 | -3.22 |
| 2 | -3.13 |
| 3 | -3.78 |